a | # CaLa2Cl, relaxed, DFT PBE
# Spin magnetization ... 0.000 μB/cell
# Calculated density ... 4.55 g cm⁻³
# D(E_F) ... 4.7 states/eV/f.u.
data_CaLa2Cl
_chemical_formula_sum 'Ca2 La4 Cl2'
_space_group_name_H-M_alt 'I m m m'
_space_group_IT_number 71
_space_group_name_Hall '-I 2 2'
_cell_length_a 3.565
_cell_length_b 5.623
_cell_length_c 12.875
_cell_angle_alpha 90.00
_cell_angle_beta 90.00
_cell_angle_gamma 90.00
loop_
_atom_site_label
_atom_site_type_symbol
_atom_site_fract_x
_atom_site_fract_y
_atom_site_fract_z
Ca1 Ca 0.000 0.000 0.000
La1 La 0.000 0.500 0.207
Cl1 Cl 0.000 0.000 0.500


b | # CaLa2Cl, relaxed, DFT PBE
# Spin magnetization ... 0.021 μB/cell
# Calculated density ... 4.40 g cm⁻³
# D(E_F) ... 5.3 states/eV/f.u.
data_CaLa2Cl
_chemical_formula_sum 'Ca2 La4 Cl2'
_space_group_name_H-M_alt 'C m m 2'
_space_group_IT_number 35
_space_group_name_Hall 'C 2 -2'
_cell_length_a 3.915
_cell_length_b 6.374
_cell_length_c 10.680
_cell_angle_alpha 90.00
_cell_angle_beta 90.00
_cell_angle_gamma 90.00
loop_
_atom_site_label
_atom_site_type_symbol
_atom_site_fract_x
_atom_site_fract_y
_atom_site_fract_z
Ca1 Ca 0.000 0.000 0.000
La1 La 0.000 0.000 0.428
La2 La 0.000 0.500 0.704
Cl1 Cl 0.000 0.500 0.197


c | # CaLa2Cl, relaxed, DFT PBE
# Spin magnetization ... 3.116 μB/cell
# Calculated density ... 4.35 g cm⁻³
# D(E_F) ... 8.0 states/eV/f.u.
data_CaLa2Cl
_chemical_formula_sum 'Ca4 La8 Cl4'
_space_group_name_H-M_alt 'F -4 3 m'
_space_group_IT_number 216
_space_group_name_Hall 'F -4 2 3'
_cell_length_a 8.143
_cell_length_b 8.143
_cell_length_c 8.143
_cell_angle_alpha 90.00
_cell_angle_beta 90.00
_cell_angle_gamma 90.00
loop_
_atom_site_label
_atom_site_type_symbol
_atom_site_fract_x
_atom_site_fract_y
_atom_site_fract_z
Ca1 Ca 0.000 0.000 0.000
La1 La 0.000 0.000 0.500
La2 La 0.250 0.250 0.750
Cl1 Cl 0.250 0.250 0.250


d | # CaLa2Cl, relaxed, DFT PBE
# Spin magnetization ... 0.001 μB/cell
# Calculated density ... 4.23 g cm⁻³
# D(E_F) ... 4.6 states/eV/f.u.
data_CaLa2Cl
_chemical_formula_sum 'Ca1 La2 Cl1'
_space_group_name_H-M_alt 'P 4/m m m'
_space_group_IT_number 123
_space_group_name_Hall '-P 4 2'
_cell_length_a 4.439
_cell_length_b 4.439
_cell_length_c 7.035
_cell_angle_alpha 90.00
_cell_angle_beta 90.00
_cell_angle_gamma 90.00
loop_
_atom_site_label
_atom_site_type_symbol
_atom_site_fract_x
_atom_site_fract_y
_atom_site_fract_z
Ca1 Ca 0.000 0.000 0.000
La1 La 0.000 0.500 0.500
Cl1 Cl 0.500 0.500 0.000


Which of them is most stable? Easy: b.


a | # CaLa2Cl, relaxed, DFT PBE
# Spin magnetization ... 0.001 μB/cell
# Calculated density ... 4.40 g cm⁻³
# D(E_F) ... 4.6 states/eV/f.u.
data_CaLa2Cl
_chemical_formula_sum 'Ca2 La4 Cl2'
_space_group_name_H-M_alt 'C 1 2/m 1'
_space_group_IT_number 12
_space_group_name_Hall '-C 2y'
_cell_length_a 6.624
_cell_length_b 13.011
_cell_length_c 3.607
_cell_angle_alpha 90.00
_cell_angle_beta 120.94
_cell_angle_gamma 90.00
loop_
_atom_site_label
_atom_site_type_symbol
_atom_site_fract_x
_atom_site_fract_y
_atom_site_fract_z
Ca1 Ca 0.000 0.000 0.000
La1 La 0.250 0.250 0.500
Cl1 Cl 0.000 0.500 0.000


b | # CaLa2Cl, relaxed, DFT PBE
# Spin magnetization ... 0.000 μB/cell
# Calculated density ... 4.30 g cm⁻³
# D(E_F) ... 3.9 states/eV/f.u.
data_CaLa2Cl
_chemical_formula_sum 'Ca1 La2 Cl1'
_space_group_name_H-M_alt 'P 1 2/m 1'
_space_group_IT_number 10
_space_group_name_Hall '-P 2y'
_cell_length_a 3.748
_cell_length_b 6.309
_cell_length_c 5.807
_cell_angle_alpha 90.00
_cell_angle_beta 97.01
_cell_angle_gamma 90.00
loop_
_atom_site_label
_atom_site_type_symbol
_atom_site_fract_x
_atom_site_fract_y
_atom_site_fract_z
Ca1 Ca 0.000 0.000 0.000
La1 La 0.270 0.500 0.748
Cl1 Cl 0.000 0.000 0.500


c | # CaLa2Cl, relaxed, DFT PBE
# Spin magnetization ... 0.000 μB/cell
# Calculated density ... 4.25 g cm⁻³
# D(E_F) ... 4.3 states/eV/f.u.
data_CaLa2Cl
_chemical_formula_sum 'Ca1 La2 Cl1'
_space_group_name_H-M_alt 'P 4 m m'
_space_group_IT_number 99
_space_group_name_Hall 'P 4 -2'
_cell_length_a 3.610
_cell_length_b 3.610
_cell_length_c 10.598
_cell_angle_alpha 90.00
_cell_angle_beta 90.00
_cell_angle_gamma 90.00
loop_
_atom_site_label
_atom_site_type_symbol
_atom_site_fract_x
_atom_site_fract_y
_atom_site_fract_z
Ca1 Ca 0.000 0.000 0.000
La1 La 0.000 0.000 0.461
La2 La 0.500 0.500 0.709
Cl1 Cl 0.500 0.500 0.142


Which of them is most stable? Easy: c.


a | # CaLa2Cl, relaxed, DFT PBE
# Spin magnetization ... 0.268 μB/cell
# Calculated density ... 4.31 g cm⁻³
# D(E_F) ... 6.6 states/eV/f.u.
data_CaLa2Cl
_chemical_formula_sum 'Ca3 La6 Cl3'
_space_group_name_H-M_alt 'R -3 m'
_space_group_IT_number 166
_space_group_name_Hall '-R 3 2"'
_cell_length_a 3.8052
_cell_length_b 3.8052
_cell_length_c 32.5423
_cell_angle_alpha 90.00
_cell_angle_beta 90.00
_cell_angle_gamma 120.00
loop_
_atom_site_label
_atom_site_type_symbol
_atom_site_fract_x
_atom_site_fract_y
_atom_site_fract_z
Ca1 Ca 0.0000 0.0000 0.0000
La1 La 0.0000 0.0000 0.2338
Cl1 Cl 0.0000 0.0000 0.5000


b | # CaLa2Cl, relaxed, DFT PBE
# Spin magnetization ... 0.001 μB/cell
# Calculated density ... 4.50 g cm⁻³
# D(E_F) ... 5.6 states/eV/f.u.
data_CaLa2Cl
_chemical_formula_sum 'Ca1 La2 Cl1'
_space_group_name_H-M_alt 'P 4/m m m'
_space_group_IT_number 123
_space_group_name_Hall '-P 4 2'
_cell_length_a 3.591
_cell_length_b 3.591
_cell_length_c 10.115
_cell_angle_alpha 90.00
_cell_angle_beta 90.00
_cell_angle_gamma 90.00
loop_
_atom_site_label
_atom_site_type_symbol
_atom_site_fract_x
_atom_site_fract_y
_atom_site_fract_z
Ca1 Ca 0.000 0.000 0.000
La1 La 0.500 0.500 0.307
Cl1 Cl 0.000 0.000 0.500


Which of them is most stable? Easy: a.


a | # CaLaCl2, relaxed, DFT PBE
# Spin magnetization ... 3.498 μB/cell
# Calculated density ... 3.50 g cm⁻³
# D(E_F) ... 6.1 states/eV/f.u.
data_CaLaCl2
_chemical_formula_sum 'Ca4 La4 Cl8'
_space_group_name_H-M_alt 'F -4 3 m'
_space_group_IT_number 216
_space_group_name_Hall 'F -4 2 3'
_cell_length_a 7.797
_cell_length_b 7.797
_cell_length_c 7.797
_cell_angle_alpha 90.00
_cell_angle_beta 90.00
_cell_angle_gamma 90.00
loop_
_atom_site_label
_atom_site_type_symbol
_atom_site_fract_x
_atom_site_fract_y
_atom_site_fract_z
Ca1 Ca 0.000 0.000 0.000
La1 La 0.250 0.250 0.250
Cl1 Cl 0.000 0.000 0.500
Cl2 Cl 0.250 0.250 0.750


b | # CaLaCl2, relaxed, DFT PBE
# Spin magnetization ... 0.005 μB/cell
# Calculated density ... 3.45 g cm⁻³
# D(E_F) ... 3.2 states/eV/f.u.
data_CaLaCl2
_chemical_formula_sum 'Ca2 La2 Cl4'
_space_group_name_H-M_alt 'I -4 m 2'
_space_group_IT_number 119
_space_group_name_Hall 'I -4 -2'
_cell_length_a 4.061
_cell_length_b 4.061
_cell_length_c 14.606
_cell_angle_alpha 90.00
_cell_angle_beta 90.00
_cell_angle_gamma 90.00
loop_
_atom_site_label
_atom_site_type_symbol
_atom_site_fract_x
_atom_site_fract_y
_atom_site_fract_z
Ca1 Ca 0.000 0.000 0.000
La1 La 0.000 0.500 0.250
Cl1 Cl 0.000 0.000 0.500
Cl2 Cl 0.000 0.500 0.750


c | # CaLaCl2, relaxed, DFT PBE
# Spin magnetization ... 0.001 μB/cell
# Calculated density ... 4.27 g cm⁻³
# D(E_F) ... 3.0 states/eV/f.u.
data_CaLaCl2
_chemical_formula_sum 'Ca3 La3 Cl6'
_space_group_name_H-M_alt 'R -3 m'
_space_group_IT_number 166
_space_group_name_Hall '-R 3 2"'
_cell_length_a 3.9980
_cell_length_b 3.9980
_cell_length_c 21.0686
_cell_angle_alpha 90.00
_cell_angle_beta 90.00
_cell_angle_gamma 120.00
loop_
_atom_site_label
_atom_site_type_symbol
_atom_site_fract_x
_atom_site_fract_y
_atom_site_fract_z
Ca1 Ca 0.0000 0.0000 0.0000
La1 La 0.0000 0.0000 0.5000
Cl1 Cl 0.0000 0.0000 0.2606


Which of them is most stable? Easy: c.


a | # CaLaCl4, relaxed, DFT PBE
# Spin magnetization ... 3.946 μB/cell
# Calculated density ... 3.42 g cm⁻³
# D(E_F) ... 3.6 states/eV/f.u.
data_CaLaCl4
_chemical_formula_sum 'Ca4 La4 Cl16'
_space_group_name_H-M_alt 'F -4 3 m'
_space_group_IT_number 216
_space_group_name_Hall 'F -4 2 3'
_cell_length_a 8.539
_cell_length_b 8.539
_cell_length_c 8.539
_cell_angle_alpha 90.00
_cell_angle_beta 90.00
_cell_angle_gamma 90.00
loop_
_atom_site_label
_atom_site_type_symbol
_atom_site_fract_x
_atom_site_fract_y
_atom_site_fract_z
Ca1 Ca 0.000 0.000 0.000
La1 La 0.250 0.250 0.250
Cl1 Cl 0.125 0.125 0.625


b | # CaLaCl4, relaxed, DFT PBE
# Spin magnetization ... 2.186 μB/cell
# Calculated density ... 3.17 g cm⁻³
# D(E_F) ... 2.3 states/eV/f.u.
data_CaLaCl4
_chemical_formula_sum 'Ca2 La2 Cl8'
_space_group_name_H-M_alt 'P 1 21/c 1'
_space_group_IT_number 14
_space_group_name_Hall '-P 2ybc'
_cell_length_a 7.546
_cell_length_b 6.749
_cell_length_c 6.598
_cell_angle_alpha 90.00
_cell_angle_beta 91.76
_cell_angle_gamma 90.00
loop_
_atom_site_label
_atom_site_type_symbol
_atom_site_fract_x
_atom_site_fract_y
_atom_site_fract_z
Ca1 Ca 0.000 0.000 0.000
La1 La 0.500 0.000 0.500
Cl1 Cl 0.148 0.146 0.354
Cl2 Cl 0.321 0.639 0.365


Which of them is most stable? Easy: b.